No. 1
Entry from OQMD via LeMat-Bulk: a geometry-optimized AgO3 structure (PBE).

## Properties
As for the total energy: -4.20 eV/atom.

The structure in CIF format:
```
data_AgO3
_cell_length_a 6.227
_cell_length_b 5.711
_cell_length_c 2.940
_cell_angle_alpha 90.00
_cell_angle_beta 103.91
_cell_angle_gamma 90.00
_space_group_name_H-M_alt 'P 1'
_space_group_IT_number 1
loop_
_space_group_symop_operation_xyz
'x,y,z'
loop_
_atom_site_label
_atom_site_type_symbol
_atom_site_fract_x
_atom_site_fract_y
_atom_site_fract_z
_atom_site_occupancy
Ag1 Ag 0.000 0.000 0.000 1
Ag2 Ag 0.500 0.500 0.000 1
O1 O 0.000 0.540 0.500 1
O2 O 0.181 0.682 0.652 1
O3 O 0.319 0.182 0.348 1
O4 O 0.500 0.040 0.500 1
O5 O 0.681 0.182 0.652 1
O6 O 0.819 0.682 0.348 1
```

---

No. 2
Entry from OQMD via LeMat-Bulk: a geometry-optimized ZrGaCo2 structure (PBE).

## Properties
As for the total energy: -6.78 eV/atom.

The structure in CIF format:
```
data_ZrGaCo2
_cell_length_a 4.083
_cell_length_b 4.083
_cell_length_c 3.356
_cell_angle_alpha 90.00
_cell_angle_beta 90.00
_cell_angle_gamma 90.00
_space_group_name_H-M_alt 'P 1'
_space_group_IT_number 1
loop_
_space_group_symop_operation_xyz
'x,y,z'
loop_
_atom_site_label
_atom_site_type_symbol
_atom_site_fract_x
_atom_site_fract_y
_atom_site_fract_z
_atom_site_occupancy
Zr1 Zr 0.000 0.000 0.000 1
Ga1 Ga 0.500 0.500 0.000 1
Co1 Co 0.000 0.500 0.500 1
Co2 Co 0.500 0.000 0.500 1
```

---

No. 3
Entry from OQMD via LeMat-Bulk: a geometry-optimized RbCoIr structure (PBE).

## Properties
The calculation puts the polymorph energy (0 for the lowest one) at 0 meV/atom.

The structure in CIF format:
```
data_RbCoIr
_cell_length_a 6.431
_cell_length_b 6.431
_cell_length_c 6.431
_cell_angle_alpha 90.00
_cell_angle_beta 90.00
_cell_angle_gamma 90.00
_space_group_name_H-M_alt 'P 1'
_space_group_IT_number 1
loop_
_space_group_symop_operation_xyz
'x,y,z'
loop_
_atom_site_label
_atom_site_type_symbol
_atom_site_fract_x
_atom_site_fract_y
_atom_site_fract_z
_atom_site_occupancy
Rb1 Rb 0.000 0.000 0.000 1
Rb2 Rb 0.000 0.500 0.500 1
Rb3 Rb 0.500 0.000 0.500 1
Rb4 Rb 0.500 0.500 0.000 1
Co1 Co 0.250 0.250 0.750 1
Co2 Co 0.250 0.750 0.250 1
Co3 Co 0.750 0.250 0.250 1
Co4 Co 0.750 0.750 0.750 1
Ir1 Ir 0.000 0.000 0.500 1
Ir2 Ir 0.000 0.500 0.000 1
Ir3 Ir 0.500 0.000 0.000 1
Ir4 Ir 0.500 0.500 0.500 1
```

---

No. 4
Entry from OQMD via LeMat-Bulk: a geometry-optimized LaCuPd structure (PBE).

## Properties
The calculation puts the polymorph energy (0 for the lowest one) at 388 meV/atom. The formation energy comes out at 27 meV per atom.

The structure in CIF format:
```
data_LaCuPd
_cell_length_a 6.794
_cell_length_b 6.794
_cell_length_c 6.794
_cell_angle_alpha 90.00
_cell_angle_beta 90.00
_cell_angle_gamma 90.00
_space_group_name_H-M_alt 'P 1'
_space_group_IT_number 1
loop_
_space_group_symop_operation_xyz
'x,y,z'
loop_
_atom_site_label
_atom_site_type_symbol
_atom_site_fract_x
_atom_site_fract_y
_atom_site_fract_z
_atom_site_occupancy
La1 La 0.000 0.000 0.000 1
La2 La 0.000 0.500 0.500 1
La3 La 0.500 0.000 0.500 1
La4 La 0.500 0.500 0.000 1
Cu1 Cu 0.250 0.250 0.750 1
Cu2 Cu 0.250 0.750 0.250 1
Cu3 Cu 0.750 0.250 0.250 1
Cu4 Cu 0.750 0.750 0.750 1
Pd1 Pd 0.250 0.250 0.250 1
Pd2 Pd 0.250 0.750 0.750 1
Pd3 Pd 0.750 0.250 0.750 1
Pd4 Pd 0.750 0.750 0.250 1
```

---

No. 5
Entry from OQMD via LeMat-Bulk: a geometry-optimized PrInPd structure (PBE).

## Properties
As for the total energy: -5.01 eV/atom.

The structure in CIF format:
```
data_PrInPd
_cell_length_a 7.691
_cell_length_b 7.691
_cell_length_c 4.167
_cell_angle_alpha 90.00
_cell_angle_beta 90.00
_cell_angle_gamma 120.00
_space_group_name_H-M_alt 'P 1'
_space_group_IT_number 1
loop_
_space_group_symop_operation_xyz
'x,y,z'
loop_
_atom_site_label
_atom_site_type_symbol
_atom_site_fract_x
_atom_site_fract_y
_atom_site_fract_z
_atom_site_occupancy
Pr1 Pr 0.000 0.587 0.000 1
Pr2 Pr 0.413 0.413 0.000 1
Pr3 Pr 0.587 0.000 0.000 1
In1 In 0.000 0.249 0.500 1
In2 In 0.249 0.000 0.500 1
In3 In 0.751 0.751 0.500 1
Pd1 Pd 0.000 0.000 0.000 1
Pd2 Pd 0.333 0.667 0.500 1
Pd3 Pd 0.667 0.333 0.500 1
```

---

No. 6
Entry from OQMD via LeMat-Bulk: a geometry-optimized Tb2GdIn3Co3 structure (PBE).

## Properties
As for the total energy: -5.12 eV/atom.

The structure in CIF format:
```
data_Tb2GdIn3Co3
_cell_length_a 3.866
_cell_length_b 7.368
_cell_length_c 7.368
_cell_angle_alpha 119.95
_cell_angle_beta 90.00
_cell_angle_gamma 90.00
_space_group_name_H-M_alt 'P 1'
_space_group_IT_number 1
loop_
_space_group_symop_operation_xyz
'x,y,z'
loop_
_atom_site_label
_atom_site_type_symbol
_atom_site_fract_x
_atom_site_fract_y
_atom_site_fract_z
_atom_site_occupancy
Tb1 Tb 0.000 0.205 0.795 1
Tb2 Tb 0.000 0.795 0.205 1
Gd1 Gd 0.000 0.615 0.615 1
In1 In 0.500 0.204 0.457 1
In2 In 0.500 0.457 0.204 1
In3 In 0.500 0.953 0.953 1
Co1 Co 0.000 0.205 0.205 1
Co2 Co 0.500 0.538 0.872 1
Co3 Co 0.500 0.872 0.538 1
```

---

No. 7
Entry from OQMD via LeMat-Bulk: a geometry-optimized Sm3SnN structure (PBE).

## Properties
As for the total energy: -6.30 eV/atom.

The structure in CIF format:
```
data_Sm3SnN
_cell_length_a 4.923
_cell_length_b 4.923
_cell_length_c 4.923
_cell_angle_alpha 90.00
_cell_angle_beta 90.00
_cell_angle_gamma 90.00
_space_group_name_H-M_alt 'P 1'
_space_group_IT_number 1
loop_
_space_group_symop_operation_xyz
'x,y,z'
loop_
_atom_site_label
_atom_site_type_symbol
_atom_site_fract_x
_atom_site_fract_y
_atom_site_fract_z
_atom_site_occupancy
Sm1 Sm 0.000 0.000 0.500 1
Sm2 Sm 0.000 0.500 0.000 1
Sm3 Sm 0.500 0.000 0.000 1
Sn1 Sn 0.500 0.500 0.500 1
N1 N 0.000 0.000 0.000 1
```

---

No. 8
Entry from OQMD via LeMat-Bulk: a geometry-optimized GaCu15 structure (PBE).

## Properties
The calculation puts the polymorph energy (0 for the lowest one) at 7 meV/atom.

The structure in CIF format:
```
data_GaCu15
_cell_length_a 5.107
_cell_length_b 2.554
_cell_length_c 42.294
_cell_angle_alpha 90.00
_cell_angle_beta 90.01
_cell_angle_gamma 90.00
_space_group_name_H-M_alt 'P 1'
_space_group_IT_number 1
loop_
_space_group_symop_operation_xyz
'x,y,z'
loop_
_atom_site_label
_atom_site_type_symbol
_atom_site_fract_x
_atom_site_fract_y
_atom_site_fract_z
_atom_site_occupancy
Ga1 Ga 0.125 0.250 0.174 1
Ga2 Ga 0.875 0.750 0.826 1
Cu1 Cu 0.124 0.250 0.693 1
Cu2 Cu 0.125 0.250 0.264 1
Cu3 Cu 0.125 0.250 0.350 1
Cu4 Cu 0.125 0.250 0.436 1
Cu5 Cu 0.125 0.250 0.521 1
Cu6 Cu 0.125 0.250 0.607 1
Cu7 Cu 0.126 0.250 0.779 1
Cu8 Cu 0.374 0.750 0.307 1
Cu9 Cu 0.375 0.750 0.393 1
Cu10 Cu 0.375 0.750 0.479 1
Cu11 Cu 0.375 0.750 0.564 1
Cu12 Cu 0.375 0.750 0.650 1
Cu13 Cu 0.375 0.750 0.735 1
Cu14 Cu 0.375 0.750 0.822 1
Cu15 Cu 0.376 0.750 0.222 1
Cu16 Cu 0.624 0.250 0.778 1
Cu17 Cu 0.625 0.250 0.178 1
Cu18 Cu 0.625 0.250 0.265 1
Cu19 Cu 0.625 0.250 0.350 1
Cu20 Cu 0.625 0.250 0.436 1
Cu21 Cu 0.625 0.250 0.521 1
Cu22 Cu 0.625 0.250 0.607 1
Cu23 Cu 0.626 0.250 0.693 1
Cu24 Cu 0.874 0.750 0.221 1
Cu25 Cu 0.875 0.750 0.393 1
Cu26 Cu 0.875 0.750 0.479 1
Cu27 Cu 0.875 0.750 0.564 1
Cu28 Cu 0.875 0.750 0.650 1
Cu29 Cu 0.875 0.750 0.736 1
Cu30 Cu 0.876 0.750 0.307 1
```

---

No. 9
Entry from OQMD via LeMat-Bulk: a geometry-optimized CsBeBiPd structure (PBE).

## Properties
The calculation puts the polymorph energy (0 for the lowest one) at 203 meV/atom.

The structure in CIF format:
```
data_CsBeBiPd
_cell_length_a 7.506
_cell_length_b 7.506
_cell_length_c 7.506
_cell_angle_alpha 90.00
_cell_angle_beta 90.00
_cell_angle_gamma 90.00
_space_group_name_H-M_alt 'P 1'
_space_group_IT_number 1
loop_
_space_group_symop_operation_xyz
'x,y,z'
loop_
_atom_site_label
_atom_site_type_symbol
_atom_site_fract_x
_atom_site_fract_y
_atom_site_fract_z
_atom_site_occupancy
Cs1 Cs 0.000 0.000 0.000 1
Cs2 Cs 0.000 0.500 0.500 1
Cs3 Cs 0.500 0.000 0.500 1
Cs4 Cs 0.500 0.500 0.000 1
Be1 Be 0.000 0.000 0.500 1
Be2 Be 0.000 0.500 0.000 1
Be3 Be 0.500 0.000 0.000 1
Be4 Be 0.500 0.500 0.500 1
Bi1 Bi 0.250 0.250 0.250 1
Bi2 Bi 0.250 0.750 0.750 1
Bi3 Bi 0.750 0.250 0.750 1
Bi4 Bi 0.750 0.750 0.250 1
Pd1 Pd 0.250 0.250 0.750 1
Pd2 Pd 0.250 0.750 0.250 1
Pd3 Pd 0.750 0.250 0.250 1
Pd4 Pd 0.750 0.750 0.750 1
```

---

No. 10
Entry from OQMD via LeMat-Bulk: a geometry-optimized InOsPd2 structure (PBE).

## Properties
As for the total energy: -5.85 eV/atom.

The structure in CIF format:
```
data_InOsPd2
_cell_length_a 6.373
_cell_length_b 6.373
_cell_length_c 6.373
_cell_angle_alpha 90.00
_cell_angle_beta 90.00
_cell_angle_gamma 90.00
_space_group_name_H-M_alt 'P 1'
_space_group_IT_number 1
loop_
_space_group_symop_operation_xyz
'x,y,z'
loop_
_atom_site_label
_atom_site_type_symbol
_atom_site_fract_x
_atom_site_fract_y
_atom_site_fract_z
_atom_site_occupancy
In1 In 0.000 0.000 0.000 1
In2 In 0.000 0.500 0.500 1
In3 In 0.500 0.000 0.500 1
In4 In 0.500 0.500 0.000 1
Os1 Os 0.250 0.250 0.250 1
Os2 Os 0.250 0.750 0.750 1
Os3 Os 0.750 0.250 0.750 1
Os4 Os 0.750 0.750 0.250 1
Pd1 Pd 0.000 0.000 0.500 1
Pd2 Pd 0.000 0.500 0.000 1
Pd3 Pd 0.250 0.250 0.750 1
Pd4 Pd 0.250 0.750 0.250 1
Pd5 Pd 0.500 0.000 0.000 1
Pd6 Pd 0.500 0.500 0.500 1
Pd7 Pd 0.750 0.250 0.250 1
Pd8 Pd 0.750 0.750 0.750 1
```

---

No. 11
Entry from OQMD via LeMat-Bulk: a geometry-optimized Dy4Sc2Ge3 structure (PBE).

## Properties
As for the total energy: -5.14 eV/atom.

The structure in CIF format:
```
data_Dy4Sc2Ge3
_cell_length_a 8.351
_cell_length_b 8.351
_cell_length_c 3.358
_cell_angle_alpha 90.00
_cell_angle_beta 90.00
_cell_angle_gamma 120.00
_space_group_name_H-M_alt 'P 1'
_space_group_IT_number 1
loop_
_space_group_symop_operation_xyz
'x,y,z'
loop_
_atom_site_label
_atom_site_type_symbol
_atom_site_fract_x
_atom_site_fract_y
_atom_site_fract_z
_atom_site_occupancy
Dy1 Dy 0.000 0.000 0.000 1
Dy2 Dy 0.385 0.345 0.000 1
Dy3 Dy 0.655 0.040 0.000 1
Dy4 Dy 0.960 0.615 0.000 1
Sc1 Sc 0.333 0.667 0.000 1
Sc2 Sc 0.667 0.333 0.500 1
Ge1 Ge 0.038 0.339 0.500 1
Ge2 Ge 0.301 0.962 0.500 1
Ge3 Ge 0.661 0.699 0.500 1
```

---

No. 12
Entry from OQMD via LeMat-Bulk: a geometry-optimized NaSmHgSe3 structure (PBE).

## Properties
The calculation puts the polymorph energy (0 for the lowest one) at 4 meV/atom.

The structure in CIF format:
```
data_NaSmHgSe3
_cell_length_a 13.958
_cell_length_b 4.237
_cell_length_c 11.504
_cell_angle_alpha 90.00
_cell_angle_beta 90.00
_cell_angle_gamma 90.00
_space_group_name_H-M_alt 'P 1'
_space_group_IT_number 1
loop_
_space_group_symop_operation_xyz
'x,y,z'
loop_
_atom_site_label
_atom_site_type_symbol
_atom_site_fract_x
_atom_site_fract_y
_atom_site_fract_z
_atom_site_occupancy
Na1 Na 0.240 0.250 0.089 1
Na2 Na 0.260 0.750 0.589 1
Na3 Na 0.740 0.250 0.411 1
Na4 Na 0.760 0.750 0.911 1
Sm1 Sm 0.021 0.250 0.345 1
Sm2 Sm 0.479 0.750 0.845 1
Sm3 Sm 0.521 0.250 0.155 1
Sm4 Sm 0.979 0.750 0.655 1
Hg1 Hg 0.008 0.750 0.104 1
Hg2 Hg 0.492 0.250 0.604 1
Hg3 Hg 0.508 0.750 0.396 1
Hg4 Hg 0.992 0.250 0.896 1
Se1 Se 0.107 0.250 0.572 1
Se2 Se 0.112 0.750 0.879 1
Se3 Se 0.150 0.750 0.256 1
Se4 Se 0.350 0.250 0.756 1
Se5 Se 0.388 0.250 0.379 1
Se6 Se 0.393 0.750 0.072 1
Se7 Se 0.607 0.250 0.928 1
Se8 Se 0.612 0.750 0.621 1
Se9 Se 0.650 0.750 0.244 1
Se10 Se 0.850 0.250 0.744 1
Se11 Se 0.888 0.250 0.121 1
Se12 Se 0.893 0.750 0.428 1
```

---

No. 13
Entry from OQMD via LeMat-Bulk: a geometry-optimized NdLuPb structure (PBE).

## Properties
The calculation puts the polymorph energy (0 for the lowest one) at 0 meV/atom.

The structure in CIF format:
```
data_NdLuPb
_cell_length_a 7.361
_cell_length_b 7.361
_cell_length_c 7.361
_cell_angle_alpha 90.00
_cell_angle_beta 90.00
_cell_angle_gamma 90.00
_space_group_name_H-M_alt 'P 1'
_space_group_IT_number 1
loop_
_space_group_symop_operation_xyz
'x,y,z'
loop_
_atom_site_label
_atom_site_type_symbol
_atom_site_fract_x
_atom_site_fract_y
_atom_site_fract_z
_atom_site_occupancy
Nd1 Nd 0.000 0.000 0.000 1
Nd2 Nd 0.000 0.500 0.500 1
Nd3 Nd 0.500 0.000 0.500 1
Nd4 Nd 0.500 0.500 0.000 1
Lu1 Lu 0.000 0.000 0.500 1
Lu2 Lu 0.000 0.500 0.000 1
Lu3 Lu 0.500 0.000 0.000 1
Lu4 Lu 0.500 0.500 0.500 1
Pb1 Pb 0.250 0.250 0.750 1
Pb2 Pb 0.250 0.750 0.250 1
Pb3 Pb 0.750 0.250 0.250 1
Pb4 Pb 0.750 0.750 0.750 1
```

---

No. 14
Entry from OQMD via LeMat-Bulk: a geometry-optimized AcLuPO structure (PBE).

## Properties
The calculation puts the polymorph energy (0 for the lowest one) at 497 meV/atom.

The structure in CIF format:
```
data_AcLuPO
_cell_length_a 4.620
_cell_length_b 4.620
_cell_length_c 8.467
_cell_angle_alpha 90.00
_cell_angle_beta 90.00
_cell_angle_gamma 90.00
_space_group_name_H-M_alt 'P 1'
_space_group_IT_number 1
loop_
_space_group_symop_operation_xyz
'x,y,z'
loop_
_atom_site_label
_atom_site_type_symbol
_atom_site_fract_x
_atom_site_fract_y
_atom_site_fract_z
_atom_site_occupancy
Ac1 Ac 0.250 0.750 0.000 1
Ac2 Ac 0.750 0.250 0.000 1
Lu1 Lu 0.250 0.250 0.453 1
Lu2 Lu 0.750 0.750 0.547 1
P1 P 0.250 0.250 0.779 1
P2 P 0.750 0.750 0.221 1
O1 O 0.250 0.750 0.500 1
O2 O 0.750 0.250 0.500 1
```

---

No. 15
Entry from OQMD via LeMat-Bulk: a geometry-optimized TmThTe structure (PBE).

## Properties
The calculation puts the polymorph energy (0 for the lowest one) at 0 meV/atom.

The structure in CIF format:
```
data_TmThTe
_cell_length_a 7.315
_cell_length_b 7.315
_cell_length_c 7.315
_cell_angle_alpha 90.00
_cell_angle_beta 90.00
_cell_angle_gamma 90.00
_space_group_name_H-M_alt 'P 1'
_space_group_IT_number 1
loop_
_space_group_symop_operation_xyz
'x,y,z'
loop_
_atom_site_label
_atom_site_type_symbol
_atom_site_fract_x
_atom_site_fract_y
_atom_site_fract_z
_atom_site_occupancy
Tm1 Tm 0.000 0.000 0.000 1
Tm2 Tm 0.000 0.500 0.500 1
Tm3 Tm 0.500 0.000 0.500 1
Tm4 Tm 0.500 0.500 0.000 1
Th1 Th 0.000 0.000 0.500 1
Th2 Th 0.000 0.500 0.000 1
Th3 Th 0.500 0.000 0.000 1
Th4 Th 0.500 0.500 0.500 1
Te1 Te 0.250 0.250 0.750 1
Te2 Te 0.250 0.750 0.250 1
Te3 Te 0.750 0.250 0.250 1
Te4 Te 0.750 0.750 0.750 1
```

---

No. 16
Entry from OQMD via LeMat-Bulk: a geometry-optimized Nb2FeSi structure (PBE).

## Properties
As for the total energy: -8.49 eV/atom.

The structure in CIF format:
```
data_Nb2FeSi
_cell_length_a 6.177
_cell_length_b 6.177
_cell_length_c 6.177
_cell_angle_alpha 90.00
_cell_angle_beta 90.00
_cell_angle_gamma 90.00
_space_group_name_H-M_alt 'P 1'
_space_group_IT_number 1
loop_
_space_group_symop_operation_xyz
'x,y,z'
loop_
_atom_site_label
_atom_site_type_symbol
_atom_site_fract_x
_atom_site_fract_y
_atom_site_fract_z
_atom_site_occupancy
Nb1 Nb 0.000 0.000 0.000 1
Nb2 Nb 0.000 0.500 0.500 1
Nb3 Nb 0.250 0.250 0.250 1
Nb4 Nb 0.250 0.750 0.750 1
Nb5 Nb 0.500 0.000 0.500 1
Nb6 Nb 0.500 0.500 0.000 1
Nb7 Nb 0.750 0.250 0.750 1
Nb8 Nb 0.750 0.750 0.250 1
Fe1 Fe 0.250 0.250 0.750 1
Fe2 Fe 0.250 0.750 0.250 1
Fe3 Fe 0.750 0.250 0.250 1
Fe4 Fe 0.750 0.750 0.750 1
Si1 Si 0.000 0.000 0.500 1
Si2 Si 0.000 0.500 0.000 1
Si3 Si 0.500 0.000 0.000 1
Si4 Si 0.500 0.500 0.500 1
```